1.
A relaxed K2NaTlCu crystal, computed with GGA-PBE.

a b c (Å): 6.445 6.445 5.088
angles (deg): 90.00 90.00 90.00
Element x y z (fractional)
1 Cu 0.000 0.000 0.000
2 K 0.000 0.500 0.000
3 Na 0.500 0.500 0.500
4 Tl 0.000 0.000 0.500
5 K 0.500 0.000 0.000

Summary:
formation enthalpy at 0 K = 0.138 eV per atom
V = 211.35 Å³ per cell
symmetry = P4/mmm, No. 123
density of states at the Fermi level = 2.82 states/eV per cell


2.
A relaxed SrCaCd2S crystal, computed with GGA-PBE.

a b c (Å): 5.983 7.142 5.983
angles (deg): 90.00 90.00 90.00
Element x y z (fractional)
1 Cd 0.000 0.000 0.500
2 Cd 0.500 0.000 0.000
3 Sr 0.000 0.000 0.000
4 Ca 0.000 0.500 0.000
5 S 0.500 0.500 0.500

Summary:
V = 255.65 Å³ per cell
symmetry = P4/mmm, No. 123
density of states at the Fermi level = 1.26 states/eV per cell


3.
A relaxed TlTc2Se crystal, computed with GGA-PBE.

a b c (Å): 3.128 3.128 8.597
angles (deg): 90.00 90.00 120.93
Element x y z (fractional)
1 Tl 0.500 0.500 0.250
2 Tc 0.000 0.000 0.530
3 Se 0.500 0.500 0.750
4 Tc 0.000 0.000 0.970

Summary:
energy above the lowest structure with this stoichiometry = 1.94 eV/f.u.
V = 72.16 Å³ per cell
symmetry = Cmmm, No. 65
density of states at the Fermi level = 3.11 states/eV per cell


4.
A relaxed CsK2AgF4 crystal, computed with GGA-PBE.

a b c (Å): 3.944 6.942 13.417
angles (deg): 90.00 90.00 106.50
Element x y z (fractional)
1 F 0.000 0.000 0.000
2 K 0.372 0.745 0.542
3 F 0.742 0.484 0.617
4 F 0.258 0.516 0.117
5 Ag 0.853 0.707 0.750
6 F 0.447 0.895 0.750
7 Ag 0.147 0.293 0.250
8 K 0.628 0.255 0.042
9 F 0.258 0.516 0.383
10 F 0.000 0.000 0.500
11 K 0.628 0.255 0.458
12 F 0.742 0.484 0.883
13 Cs 0.120 0.239 0.750
14 F 0.553 0.105 0.250
15 Cs 0.880 0.761 0.250
16 K 0.372 0.745 0.958

Summary:
V = 352.19 Å³ per cell
symmetry = Cmcm, No. 63
density of states at the Fermi level = 0.00 states/eV per cell


5.
A relaxed CaPuSnBi crystal, computed with GGA-PBE.

a b c (Å): 5.496 5.496 5.496
angles (deg): 60.00 60.00 60.00
Element x y z (fractional)
1 Sn 0.750 0.750 0.750
2 Bi 0.250 0.250 0.250
3 Pu 0.500 0.500 0.500
4 Ca 0.000 0.000 0.000

Summary:
formation enthalpy at 0 K = -0.392 eV per atom
V = 117.37 Å³ per cell
symmetry = F-43m, No. 216
density of states at the Fermi level = 15.44 states/eV per cell


6.
A relaxed YAsRuBr2 crystal, computed with GGA-PBE.

a b c (Å): 5.395 5.395 5.768
angles (deg): 90.00 90.00 90.00
Element x y z (fractional)
1 Ru 0.500 0.500 0.500
2 Y 0.000 0.000 0.000
3 Br 0.500 0.000 0.000
4 Br 0.000 0.500 0.000
5 As 0.000 0.000 0.500

Summary:
energy above the lowest structure with this stoichiometry = 2.04 eV/f.u.
V = 167.92 Å³ per cell
symmetry = P4/mmm, No. 123
density of states at the Fermi level = 7.24 states/eV per cell


The total energy results, record by record, are as follows: -1.8569 -1.2039 -5.9532 -3.9247 -6.4466 -4.4172 eV/atom.